This record from Alexandria via LeMat-Bulk describes Pm2PuMnO8 after structural relaxation. The functional is GGA+U.

Lattice parameters (Å, degrees): 4.691 5.214 7.214 84.53 91.37 96.04
Each line ends with the local moment (μB).
Atoms (fractional coordinates):
O  0.849  0.132  0.259  0.08
O  0.711  0.713  0.513  0.02
O  0.351  0.233  0.025  0.06
O  0.127  0.724  0.171  0.06
O  0.649  0.767  0.975  0.06
O  0.289  0.287  0.487  0.02
O  0.151  0.868  0.741  0.08
O  0.873  0.276  0.829  0.06
Pm  0.589  0.488  0.262  -0.01
Pm  0.411  0.512  0.738  -0.01
Pu  0.000  0.000  0.000  -1.42
Mn  0.000  0.000  0.500  -3.85

Values from the calculation:
- V: 14.55 Å³/atom
- SG: P-1, No. 2
- VASP energy: -102.14 eV/cell